Entry 1:
Entry from Alexandria: a geometry-optimized Al2FeCl structure (GGA-PBEsol).

CIF file:
```
data_Al2FeCl
_chemical_formula_sum 'Al6 Fe3 Cl3'
_cell_length_a 2.9199
_cell_length_b 2.9199
_cell_length_c 27.8588
_cell_angle_alpha 90.00
_cell_angle_beta 90.00
_cell_angle_gamma 120.00
_space_group_name_H-M_alt 'R 3 m'
_space_group_IT_number 160
_space_group_name_Hall 'R 3 -2"'
loop_
_atom_site_label
_atom_site_type_symbol
_atom_site_fract_x
_atom_site_fract_y
_atom_site_fract_z
Al1 Al 0.0000 0.0000 0.0000
Al2 Al 0.0000 0.0000 0.2499
Fe1 Fe 0.0000 0.0000 0.7369
Cl1 Cl 0.0000 0.0000 0.4601
```

Properties
D(E_F) = 1.75 states/eV/f.u.
Magnetization = 0.702 μB per atom
Distance to the lowest polymorph of the same formula = 0.0 meV per atom
V = 205.7 Å³/cell

=====

Entry 2:
Entry from Alexandria: a geometry-optimized Al2FeCl structure (GGA-PBEsol).

CIF file:
```
data_Al2FeCl
_chemical_formula_sum 'Al4 Fe2 Cl2'
_cell_length_a 3.598
_cell_length_b 3.598
_cell_length_c 10.483
_cell_angle_alpha 90.00
_cell_angle_beta 90.00
_cell_angle_gamma 90.00
_space_group_name_H-M_alt 'I -4 m 2'
_space_group_IT_number 119
_space_group_name_Hall 'I -4 -2'
loop_
_atom_site_label
_atom_site_type_symbol
_atom_site_fract_x
_atom_site_fract_y
_atom_site_fract_z
Al1 Al 0.000 0.000 0.000
Al2 Al 0.000 0.500 0.250
Fe1 Fe 0.000 0.500 0.750
Cl1 Cl 0.000 0.000 0.500
```

Properties
D(E_F) = 3.50 states/eV/f.u.
Magnetization = 0.602 μB per atom
Distance to the lowest polymorph of the same formula = 491.7 meV per atom
V = 135.7 Å³/cell

=====

Entry 3:
Entry from Alexandria: a geometry-optimized AlFe2Cl structure (GGA-PBEsol).

CIF file:
```
data_AlFe2Cl
_chemical_formula_sum 'Al2 Fe4 Cl2'
_cell_length_a 8.434
_cell_length_b 2.865
_cell_length_c 6.996
_cell_angle_alpha 90.00
_cell_angle_beta 126.11
_cell_angle_gamma 90.00
_space_group_name_H-M_alt 'C 1 2/m 1'
_space_group_IT_number 12
loop_
_space_group_symop_operation_xyz
'x,y,z'
'-x,-y,-z'
'-x,y,-z'
'x,-y,z'
'x+1/2,y+1/2,z'
'-x+1/2,-y+1/2,-z'
'-x+1/2,y+1/2,-z'
'x+1/2,-y+1/2,z'
loop_
_atom_site_label
_atom_site_type_symbol
_atom_site_fract_x
_atom_site_fract_y
_atom_site_fract_z
Al1 Al 0.000 0.000 0.000
Fe1 Fe 0.151 0.500 0.847
Cl1 Cl 0.000 0.000 0.500
```

Properties
D(E_F) = 2.44 states/eV/f.u.
Magnetization = 1.064 μB per atom
Distance to the lowest polymorph of the same formula = 0.0 meV per atom
V = 136.6 Å³/cell

=====

Entry 4:
Entry from Alexandria: a geometry-optimized ZrAl2FeCl structure (GGA-PBEsol).

CIF file:
```
data_ZrAl2FeCl
_chemical_formula_sum 'Zr1 Al2 Fe1 Cl1'
_cell_length_a 4.538
_cell_length_b 4.538
_cell_length_c 4.616
_cell_angle_alpha 90.00
_cell_angle_beta 90.00
_cell_angle_gamma 90.00
_space_group_name_H-M_alt 'P 4/m m m'
_space_group_IT_number 123
_space_group_name_Hall '-P 4 2'
loop_
_atom_site_label
_atom_site_type_symbol
_atom_site_fract_x
_atom_site_fract_y
_atom_site_fract_z
Zr1 Zr 0.000 0.000 0.000
Al1 Al 0.000 0.500 0.500
Fe1 Fe 0.000 0.000 0.500
Cl1 Cl 0.500 0.500 0.000
```

Properties
Electronic total energy = -5.809 eV per atom
D(E_F) = 2.16 states/eV/f.u.
Magnetization = 0.000 μB per atom
V = 95.1 Å³/cell